No. 1
The following is a DFT calculation (PBE) of a relaxed structure of Sm6DyHo.

a b c (Å): 5.0949 5.0949 10.1893
angles (deg): 90.00 90.00 90.00
Closest atoms and distances in Å follow each position.
Fractional coordinates of all 8 atoms:
Sm1 0.5000 0.5000 0.0000  4 Dy 3.60, 8 Sm 3.60
Sm2 0.5000 0.5000 0.5000  8 Sm 3.60, 4 Ho 3.60
Sm3 0.5000 0.0000 0.2502  2 Ho 3.60, 8 Sm 3.60, 2 Dy 3.60
Sm4 0.5000 0.0000 0.7498  2 Ho 3.60, 8 Sm 3.60, 2 Dy 3.60
Sm5 0.0000 0.5000 0.2502  2 Ho 3.60, 8 Sm 3.60, 2 Dy 3.60
Sm6 0.0000 0.5000 0.7498  2 Ho 3.60, 8 Sm 3.60, 2 Dy 3.60
Dy1 0.0000 0.0000 0.0000  12 Sm 3.60
Ho1 0.0000 0.0000 0.5000  12 Sm 3.60

Properties
As for the space-group type: P4/mmm (123). Its density of states at the Fermi level is 12.72 states/eV per cell. As for the energy of formation: 0.0180 eV per atom. For the calculated volume, the calculation gives 33.1 Å³ per atom.


No. 2
The following is a DFT calculation (PBE) of a relaxed structure of Sm6Dy2Ho3.

a b c (Å): 3.5841 3.5841 32.1325
angles (deg): 86.80 86.80 60.00
Closest atoms and distances in Å follow each position.
Fractional coordinates of all 11 atoms:
Sm1 0.9094 0.9094 0.2717  3 Ho 3.57, 3 Dy 3.57, 6 Sm 3.58
Sm2 0.0906 0.0906 0.7283  3 Ho 3.57, 3 Dy 3.57, 6 Sm 3.58
Sm3 0.8178 0.8178 0.5465  3 Dy 3.58, 9 Sm 3.58-3.63
Sm4 0.1822 0.1822 0.4535  3 Dy 3.58, 9 Sm 3.58-3.63
Sm5 0.6365 0.6365 0.0906  6 Ho 3.56-3.57, 6 Sm 3.58
Sm6 0.3635 0.3635 0.9094  6 Ho 3.56-3.57, 6 Sm 3.58
Dy1 0.5458 0.5458 0.3626  6 Sm 3.57-3.58, 6 Dy 3.58
Dy2 0.4542 0.4542 0.6374  6 Sm 3.57-3.58, 6 Dy 3.58
Ho1 0.0000 0.0000 0.0000  6 Sm 3.57, 6 Ho 3.58
Ho2 0.7270 0.7270 0.8189  6 Sm 3.56-3.57, 6 Ho 3.58
Ho3 0.2730 0.2730 0.1811  6 Sm 3.56-3.57, 6 Ho 3.58

Properties
As for the space-group type: R-3m (166). Its density of states at the Fermi level is 13.06 states/eV per cell. As for the energy of formation: 0.0149 eV per atom. For the calculated volume, the calculation gives 32.4 Å³ per atom.


No. 3
The following is a DFT calculation (PBE) of a relaxed structure of SmDy7Ho2.

a b c (Å): 5.5616 9.1882 9.1883
angles (deg): 123.41 90.00 90.00
Closest atoms and distances in Å follow each position.
Fractional coordinates of all 10 atoms:
Sm1 0.0000 0.0000 0.0000  10 Dy 3.46-3.68
Dy1 0.0000 0.7862 0.2138  2 Ho 3.09
Dy2 0.0000 0.2138 0.7862  2 Ho 3.09
Dy3 0.5000 0.0628 0.2910  2 Dy 3.08-3.37, 2 Ho 3.16-3.33
Dy4 0.5000 0.9372 0.7090  2 Dy 3.08-3.37, 2 Ho 3.16-3.33
Dy5 0.5000 0.2910 0.0628  2 Dy 3.08-3.37, 2 Ho 3.16-3.33
Dy6 0.5000 0.7090 0.9372  2 Dy 3.08-3.37, 2 Ho 3.16-3.33
Dy7 0.5000 0.5000 0.5000  2 Ho 3.29, 4 Dy 3.37
Ho1 0.5000 0.7035 0.2965  7 Dy 3.09-3.33
Ho2 0.5000 0.2965 0.7035  7 Dy 3.09-3.33

Properties
As for the space-group type: Cmmm (65). Its density of states at the Fermi level is 14.69 states/eV per cell. As for the energy of formation: 0.6987 eV per atom. For the calculated volume, the calculation gives 39.2 Å³ per atom.


No. 4
The following is a DFT calculation (PBE) of a relaxed structure of Sm4Dy2Ho.

a b c (Å): 13.1405 6.5438 10.9006
angles (deg): 90.00 90.00 90.00
Closest atoms and distances in Å follow each position.
Fractional coordinates of all 28 atoms:
Sm1 0.7500 0.7501 0.5245  6 Sm 3.27-3.40, 2 Dy 3.50
Sm2 0.2500 0.7499 0.4755  6 Sm 3.27-3.40, 2 Dy 3.50
Sm3 0.2500 0.2501 0.9755  6 Sm 3.27-3.40, 2 Dy 3.50
Sm4 0.7500 0.2499 0.0245  6 Sm 3.27-3.40, 2 Dy 3.50
Sm5 0.2500 0.2499 0.4755  6 Sm 3.27-3.40, 2 Dy 3.50
Sm6 0.7500 0.2501 0.5245  6 Sm 3.27-3.40, 2 Dy 3.50
Sm7 0.7500 0.7499 0.0245  6 Sm 3.27-3.40, 2 Dy 3.50
Sm8 0.2500 0.7501 0.9755  6 Sm 3.27-3.40, 2 Dy 3.50
Sm9 0.1639 0.0000 0.7289  1 Ho 3.30, 4 Dy 3.32-3.57, 4 Sm 3.34-3.40
Sm10 0.6639 0.5000 0.2711  1 Ho 3.30, 4 Dy 3.32-3.57, 4 Sm 3.34-3.40
Sm11 0.8361 0.5000 0.7711  1 Ho 3.30, 4 Dy 3.32-3.57, 4 Sm 3.34-3.40
Sm12 0.3361 0.0000 0.2289  1 Ho 3.30, 4 Dy 3.32-3.57, 4 Sm 3.34-3.40
Sm13 0.8361 0.0000 0.2711  1 Ho 3.30, 4 Dy 3.32-3.57, 4 Sm 3.34-3.40
Sm14 0.3361 0.5000 0.7289  1 Ho 3.30, 4 Dy 3.32-3.57, 4 Sm 3.34-3.40
Sm15 0.1639 0.5000 0.2289  1 Ho 3.30, 4 Dy 3.32-3.57, 4 Sm 3.34-3.40
Sm16 0.6639 0.0000 0.7711  1 Ho 3.30, 4 Dy 3.32-3.57, 4 Sm 3.34-3.40
Dy1 0.9285 0.0000 0.8398  6 Sm 3.32-3.57
Dy2 0.4285 0.5000 0.1602  6 Sm 3.32-3.57
Dy3 0.0715 0.5000 0.6602  6 Sm 3.32-3.57
Dy4 0.5715 0.0000 0.3398  6 Sm 3.32-3.57
Dy5 0.0715 0.0000 0.1602  6 Sm 3.32-3.57
Dy6 0.5715 0.5000 0.8398  6 Sm 3.32-3.57
Dy7 0.9285 0.5000 0.3398  6 Sm 3.32-3.57
Dy8 0.4285 0.0000 0.6602  6 Sm 3.32-3.57
Ho1 0.0000 0.0000 0.5000  6 Sm 3.30-3.68
Ho2 0.5000 0.5000 0.5000  6 Sm 3.30-3.68
Ho3 0.0000 0.5000 0.0000  6 Sm 3.30-3.68
Ho4 0.5000 0.0000 0.0000  6 Sm 3.30-3.68

Properties
As for the space-group type: Cmce (64). Its density of states at the Fermi level is 46.98 states/eV per cell. As for the energy of formation: 0.1993 eV per atom. For the calculated volume, the calculation gives 33.5 Å³ per atom.